# MgSbP2 GGA-PBE relaxed
data_MgSbP2
_cell_length_a 3.505
_cell_length_b 3.505
_cell_length_c 6.394
_cell_angle_alpha 90.00
_cell_angle_beta 90.00
_cell_angle_gamma 90.00
_space_group_name_H-M_alt 'P 4/m m m'
_space_group_IT_number 123
_space_group_name_Hall '-P 4 2'
loop_
_atom_site_label
_atom_site_fract_x
_atom_site_fract_y
_atom_site_fract_z
_atom_site_occupancy
Mg1 0.000 0.000 0.000 1
Sb1 0.000 0.000 0.500 1
P1 0.500 0.500 0.175 1
# Fermi-level density of states	2.103	states/eV per cell
# total DFT energy (no corrections)	-0.2961	Ry per atom
# calculated volume	19.64	Å³/atom
# E_form (uncorrected)	0.106	eV per atom
# excess energy over the best structure of this formula in the dataset	0.92	eV/f.u.


# Mg3SbP GGA-PBE relaxed
data_Mg3SbP
_cell_length_a 5.218
_cell_length_b 5.218
_cell_length_c 5.218
_cell_angle_alpha 90.00
_cell_angle_beta 90.00
_cell_angle_gamma 90.00
_space_group_name_H-M_alt 'P m -3 m'
_space_group_IT_number 221
_space_group_name_Hall '-P 4 2 3'
loop_
_atom_site_label
_atom_site_fract_x
_atom_site_fract_y
_atom_site_fract_z
_atom_site_occupancy
Mg1 0.000 0.000 0.500 1
Sb1 0.000 0.000 0.000 1
P1 0.500 0.500 0.500 1
# Fermi-level density of states	0.040	states/eV per cell
# total DFT energy (no corrections)	-0.1813	Ry per atom
# calculated volume	28.41	Å³/atom
# E_form (uncorrected)	0.397	eV per atom
# excess energy over the best structure of this formula in the dataset	3.72	eV/f.u.